HoMg2UN4: optimized geometry, GGA-PBE.

Results
The uncorrected formation energy is -1.220 eV/atom. Its electronic total energy is -62.1 eV for the cell shown.

Unit cell a=5.5502 b=3.4115 c=5.8368 alpha=90.00 beta=109.69 gamma=90.00
With the nearest neighbours (Å) after each atom.
Space group P2/m (No. 10)
Symmetry-distinct sites (fractional):
Ho: 0.0000 0.0000 0.0000 [1 per cell]  6 N 2.36-2.38
Mg: 0.5000 0.0000 0.5000 [1 per cell]  6 N 2.30-2.36
Mg: 0.5000 0.5000 0.0000 [1 per cell]  6 N 2.40-2.46
U: 0.0000 0.5000 0.5000 [1 per cell]  6 N 2.19-2.33
N: 0.2362 0.5000 0.2649 [2 per cell]  1 U 2.19, 2 Mg 2.36, 2 Ho 2.38
N: 0.2452 0.0000 0.7386 [2 per cell]  3 Mg 2.30-2.40, 2 U 2.33, 1 Ho 2.36

PmPaOs: optimized geometry, GGA-PBE.

Results
The calculation puts the formation enthalpy at 0 K at 0.077 eV/atom. The relative energy among the computed polymorphs is 0.80 eV per formula unit. Its electronic total energy is -101.0 eV for the cell shown.

Unit cell a=6.8146 b=6.8146 c=6.8146 alpha=90.00 beta=90.00 gamma=90.00
With the nearest neighbours (Å) after each atom.
Space group F-43m (No. 216)
Symmetry-distinct sites (fractional):
Pm: 0.0000 0.0000 0.0000 [4 per cell]  4 Os 2.95
Pa: 0.0000 0.0000 0.5000 [4 per cell]  4 Os 2.95
Os: 0.2500 0.2500 0.2500 [4 per cell]  4 Pa 2.95, 4 Pm 2.95

CsTh3P4N12: optimized geometry, GGA-PBE.

Results
The uncorrected formation energy is -0.591 eV/atom. Its electronic total energy is -469.5 eV for the cell shown.

Unit cell a=11.2833 b=11.2833 c=9.7909 alpha=90.00 beta=90.00 gamma=120.00
With the nearest neighbours (Å) after each atom.
Space group R32 (No. 155, hexagonal axes)
Symmetry-distinct sites (fractional):
Cs: 0.0000 0.0000 0.0000 [3 per cell]  6 N 3.11
Th: 0.0000 0.5485 0.0000 [9 per cell]  6 N 2.34-2.50
P: 0.0000 0.0000 0.5000 [3 per cell]  3 N 1.59
P: 0.0000 0.4574 0.5000 [9 per cell]  3 N 1.56-1.58
N: 0.0000 0.5973 0.5000 [9 per cell]  1 P 1.58
N: 0.0000 0.8588 0.5000 [9 per cell]  1 P 1.59
N: 0.0117 0.2135 0.2087 [18 per cell]  1 P 1.56

KBe2IrOs: optimized geometry, GGA-PBE.

Results
The calculation puts the formation enthalpy at 0 K at 0.784 eV/atom. Its electronic total energy is -24.7 eV for the cell shown.

Unit cell a=4.5248 b=4.5248 c=4.7629 alpha=90.00 beta=90.00 gamma=90.00
With the nearest neighbours (Å) after each atom.
Space group P4/mmm (No. 123)
Symmetry-distinct sites (fractional):
K: 0.0000 0.0000 0.0000 [1 per cell]  4 Ir 3.20, 8 Be 3.28
Be: 0.0000 0.5000 0.5000 [2 per cell]  2 Os 2.26
Ir: 0.5000 0.5000 0.0000 [1 per cell]  2 Os 2.38
Os: 0.5000 0.5000 0.5000 [1 per cell]  4 Be 2.26, 2 Ir 2.38

BeFeAg2: optimized geometry, GGA-PBE.

Results
The calculation puts the formation enthalpy at 0 K at 0.315 eV/atom. Its electronic total energy is -16.6 eV for the cell shown.

Unit cell a=2.8376 b=2.8376 c=6.9262 alpha=90.00 beta=90.00 gamma=90.00
With the nearest neighbours (Å) after each atom.
Space group P4/mmm (No. 123)
Symmetry-distinct sites (fractional):
Be: 0.0000 0.0000 0.0000 [1 per cell]  8 Ag 2.52
Fe: 0.0000 0.0000 0.5000 [1 per cell]  8 Ag 2.79, 4 Fe 2.84
Ag: 0.5000 0.5000 0.2205 [2 per cell]  4 Be 2.52, 4 Fe 2.79

AsOsS2: optimized geometry, GGA-PBE.

Results
The uncorrected formation energy is 0.171 eV/atom. Its electronic total energy is -70.3 eV for the cell shown.

Unit cell a=3.4946 b=3.4946 c=22.7083 alpha=90.00 beta=90.00 gamma=120.00
With the nearest neighbours (Å) after each atom.
Space group R-3m (No. 166, hexagonal axes)
Symmetry-distinct sites (fractional):
As: 0.0000 0.0000 0.0000 [3 per cell]  2 S 2.56
Os: 0.0000 0.0000 0.5000 [3 per cell]  6 S 2.36
S: 0.0000 0.0000 0.1127 [6 per cell]  3 Os 2.36, 1 As 2.56

NpZnSbO6: optimized geometry, GGA-PBE.

Results
The uncorrected formation energy is -1.885 eV/atom. Its electronic total energy is -130.1 eV for the cell shown.

Unit cell a=5.2877 b=5.2877 c=9.2777 alpha=90.00 beta=90.00 gamma=120.00
With the nearest neighbours (Å) after each atom.
Space group P-31c (No. 163)
Symmetry-distinct sites (fractional):
Np: 0.3333 0.6667 0.2500 [2 per cell]  6 O 2.14
Zn: 0.3333 0.6667 0.7500 [2 per cell]  6 O 2.15
Sb: 0.0000 0.0000 0.0000 [2 per cell]  6 O 2.05
O: 0.0019 0.3217 0.1244 [12 per cell]  1 Sb 2.05, 1 Np 2.14, 1 Zn 2.15

YAl: optimized geometry, GGA-PBE.

Results
The calculation puts the formation enthalpy at 0 K at -0.185 eV/atom. Its electronic total energy is -31.7 eV for the cell shown.

Unit cell a=3.5966 b=3.5966 c=13.7722 alpha=90.00 beta=90.00 gamma=120.00
With the nearest neighbours (Å) after each atom.
Space group R-3m (No. 166, hexagonal axes)
Symmetry-distinct sites (fractional):
Y: 0.0000 0.0000 0.0000 [3 per cell]  6 Al 3.10
Al: 0.0000 0.0000 0.5000 [3 per cell]  6 Y 3.10

Tb2TlCu: optimized geometry, GGA-PBE.

Results
The calculation puts the formation enthalpy at 0 K at -0.132 eV/atom. Its electronic total energy is -48.7 eV for the cell shown.

Unit cell a=3.8227 b=3.8227 c=25.5816 alpha=90.00 beta=90.00 gamma=120.00
With the nearest neighbours (Å) after each atom.
Space group R-3m (No. 166, hexagonal axes)
Symmetry-distinct sites (fractional):
Tb: 0.0000 0.0000 0.2378 [6 per cell]  3 Cu 2.86
Tl: 0.0000 0.0000 0.0000 [3 per cell]  6 Tb 3.29
Cu: 0.0000 0.0000 0.5000 [3 per cell]  6 Tb 2.86

Er3TmSc: optimized geometry, GGA-PBE.

Results
The calculation puts the formation enthalpy at 0 K at 0.010 eV/atom. The relative energy among the computed polymorphs is 0.00 eV per formula unit. Its electronic total energy is -48.9 eV for the cell shown.

Unit cell a=6.0952 b=6.5145 c=8.9350 alpha=107.63 beta=90.02 gamma=117.85
With the nearest neighbours (Å) after each atom.
Space group P-1 (No. 2)
Symmetry-distinct sites (fractional):
Er: 0.0665 0.2980 0.0516 [2 per cell]  6 Er 3.39-3.55, 4 Tm 3.40-3.54, 2 Sc 3.42-3.55
Er: 0.2657 0.7001 0.4505 [2 per cell]  4 Sc 3.39-3.52, 6 Er 3.40-3.52, 2 Tm 3.41-3.50
Er: 0.3337 0.4954 0.7471 [2 per cell]  3 Sc 3.38-3.49, 3 Tm 3.41-3.58, 6 Er 3.41-3.55
Tm: 0.4672 0.0962 0.8476 [2 per cell]  9 Er 3.40-3.58, 1 Tm 3.42, 2 Sc 3.51-3.52
Sc: 0.1311 0.0976 0.3524 [2 per cell]  1 Sc 3.36, 9 Er 3.38-3.55, 2 Tm 3.51-3.52

La3MgHg: optimized geometry, GGA-PBE.

Results
The calculation puts the formation enthalpy at 0 K at 0.245 eV/atom. The relative energy among the computed polymorphs is 2.34 eV per formula unit. Its electronic total energy is -15.5 eV for the cell shown.

Unit cell a=5.9768 b=5.9768 c=5.9768 alpha=90.00 beta=90.00 gamma=90.00
With the nearest neighbours (Å) after each atom.
Space group Pm-3m (No. 221)
Symmetry-distinct sites (fractional):
La: 0.0000 0.0000 0.5000 [3 per cell]  2 Hg 2.99
Mg: 0.5000 0.5000 0.5000 [1 per cell]  12 La 4.23
Hg: 0.0000 0.0000 0.0000 [1 per cell]  6 La 2.99

La2Sb: optimized geometry, GGA-PBE.

Results
The uncorrected formation energy is -0.776 eV/atom. Its electronic total energy is -32.6 eV for the cell shown.

Unit cell a=4.2968 b=4.2968 c=10.1760 alpha=90.00 beta=90.00 gamma=90.00
With the nearest neighbours (Å) after each atom.
Space group I4/mmm (No. 139)
Symmetry-distinct sites (fractional):
La: 0.0000 0.0000 0.1479 [4 per cell]  1 La 3.01
Sb: 0.0000 0.0000 0.5000 [2 per cell]  10 La 3.39-3.58